# SmGe2Pt5 | Alexandria | PBE | relaxed
data_SmGe2Pt5
_chemical_formula_sum 'Sm2 Ge4 Pt10'
_cell_length_a 3.9560
_cell_length_b 7.2462
_cell_length_c 9.9205
_cell_angle_alpha 90.00
_cell_angle_beta 90.00
_cell_angle_gamma 90.00
_space_group_name_H-M_alt 'I m m m'
_space_group_IT_number 71
_space_group_name_Hall '-I 2 2'
loop_
_atom_site_label
_atom_site_fract_x
_atom_site_fract_y
_atom_site_fract_z
_atom_site_occupancy
Sm1 0.0000 0.0000 0.0000 1
Ge1 0.0000 0.5000 0.2512 1
Pt1 0.0000 0.1992 0.3570 1
Pt2 0.0000 0.5000 0.0000 1
# - Theoretical density: 14.8 g/cm3
# - Crystal system: orthorhombic
# - Total DFT energy (no corrections): -0.458 Ry/atom
# - DOS(E_F): 7.5 states/eV per cell
# - Formation energy from the elements: -5.66 eV per formula unit